[1]
Material: Tb2NdCu2Ge2
Method: DFT, GGA-PBE
State: relaxed

Values from the calculation:
space group	R-3m
magnetization	0.00	μB/cell
crystal system	trigonal
energy relative to the elements	-0.496	eV/atom

Cell lengths 4.317, 4.317, 9.832 Å; angles 77.32, 77.32, 60.00 degrees
Positions (direct):
Tb 0.127 0.127 0.619
Tb 0.873 0.873 0.381
Nd 0.000 0.000 0.000
Cu 0.597 0.597 0.210
Cu 0.403 0.403 0.790
Ge 0.738 0.738 0.785
Ge 0.262 0.262 0.215

[2]
Material: Nd2ThCu2Ge2
Method: DFT, GGA-PBE
State: relaxed

Values from the calculation:
space group	R-3m
magnetization	0.00	μB/cell
crystal system	trigonal
energy relative to the elements	-0.473	eV/atom

Cell lengths 4.208, 4.208, 11.249 Å; angles 79.22, 79.22, 60.00 degrees
Positions (direct):
Nd 0.122 0.122 0.634
Nd 0.878 0.878 0.366
Th 0.000 0.000 0.000
Cu 0.609 0.609 0.174
Cu 0.391 0.391 0.826
Ge 0.731 0.731 0.807
Ge 0.269 0.269 0.193

[3]
Material: NdTh2Cu2Ge2
Method: DFT, GGA-PBE
State: relaxed

Values from the calculation:
space group	R-3m
magnetization	0.00	μB/cell
crystal system	trigonal
energy relative to the elements	-0.421	eV/atom

Cell lengths 4.133, 4.133, 11.403 Å; angles 79.56, 79.56, 60.00 degrees
Positions (direct):
Nd 0.000 0.000 0.000
Th 0.124 0.124 0.628
Th 0.876 0.876 0.372
Cu 0.600 0.600 0.201
Cu 0.400 0.400 0.799
Ge 0.728 0.728 0.817
Ge 0.272 0.272 0.183

[4]
Material: NdThCu2Ge2
Method: DFT, GGA-PBE
State: relaxed

Values from the calculation:
space group	P-3m1
magnetization	0.00	μB/cell
crystal system	trigonal
energy relative to the elements	-0.645	eV/atom

Cell lengths 4.243, 4.243, 8.102 Å; angles 90.00, 90.00, 120.00 degrees
Positions (direct):
Nd 0.000 0.000 0.000
Th 0.000 0.000 0.500
Cu 0.333 0.667 0.741
Cu 0.667 0.333 0.259
Ge 0.333 0.667 0.249
Ge 0.667 0.333 0.751

[5]
Material: NdTm2Cu2Ge2
Method: DFT, GGA-PBE
State: relaxed

Values from the calculation:
space group	R-3m
magnetization	0.00	μB/cell
crystal system	trigonal
energy relative to the elements	-0.485	eV/atom

Cell lengths 4.322, 4.322, 9.502 Å; angles 76.85, 76.85, 60.00 degrees
Positions (direct):
Nd 0.000 0.000 0.000
Tm 0.128 0.128 0.616
Tm 0.872 0.872 0.384
Cu 0.593 0.593 0.221
Cu 0.407 0.407 0.779
Ge 0.742 0.742 0.775
Ge 0.258 0.258 0.225

[6]
Material: NdTmCu2Ge2
Method: DFT, GGA-PBE
State: relaxed

Values from the calculation:
space group	P-3m1
magnetization	0.00	μB/cell
crystal system	trigonal
energy relative to the elements	-0.675	eV/atom

Cell lengths 4.265, 4.265, 7.497 Å; angles 90.00, 90.00, 120.00 degrees
Positions (direct):
Nd 0.000 0.000 0.000
Tm 0.000 0.000 0.500
Cu 0.333 0.667 0.723
Cu 0.667 0.333 0.277
Ge 0.333 0.667 0.263
Ge 0.667 0.333 0.737